Entry from Alexandria: a geometry-optimized RbFeI2O structure (PBE with a Hubbard U).

Cell and atoms, written as POSCAR:
```
RbFeI2O
1.0
-0.377 -6.360 1.631
6.562 -0.306 0.326
-0.162 1.111 4.296
I O Fe Rb
2 1 1 1
Direct
0.000 0.500 0.000
0.500 0.000 0.000
0.000 0.000 0.500
0.500 0.500 0.500
0.000 0.000 0.000
```

- Total magnetization: 5.01 μB/f.u.
- DFT total energy: -2.371 eV per atom
- Energy above the most stable polymorph in this dataset: 1376 meV/atom
- Space-group type: P4/mmm